Record 1
{
  "formula": "AcCuPb",
  "functional": "GGA-PBE",
  "state": "relaxed",
  "cell": [[4.776, 0.000, 0.000], [0.000, 8.230, 0.000], [0.000, 0.000, 8.696]],
  "species": ["Ac", "Ac", "Ac", "Ac", "Cu", "Cu", "Cu", "Cu", "Pb", "Pb", "Pb", "Pb"],
  "frac_coords": [[0.250, 0.750, 0.500], [0.750, 0.250, 0.000], [0.250, 0.750, 0.000], [0.750, 0.250, 0.500], [0.750, 0.582, 0.250], [0.750, 0.918, 0.750], [0.250, 0.082, 0.250], [0.250, 0.418, 0.750], [0.750, 0.916, 0.250], [0.750, 0.584, 0.750], [0.250, 0.084, 0.750], [0.250, 0.416, 0.250]],
  "e_form_ev_per_fu": -1.1,
  "e_above_lowest_polymorph_ev_per_atom": 0.000
}


Record 2
{
  "formula": "Ce2ThCu9",
  "functional": "GGA-PBE",
  "state": "relaxed",
  "cell": [[-0.468, 2.877, 4.295], [4.003, 0.447, 3.273], [3.889, 7.879, -1.717]],
  "species": ["Ce", "Ce", "Th", "Cu", "Cu", "Cu", "Cu", "Cu", "Cu", "Cu", "Cu", "Cu"],
  "frac_coords": [[0.851, 0.851, 0.446], [0.149, 0.149, 0.554], [0.000, 0.000, 0.000], [0.669, 0.669, 0.994], [0.331, 0.331, 0.006], [0.500, 0.500, 0.500], [0.422, 0.422, 0.241], [0.914, 0.422, 0.241], [0.422, 0.914, 0.241], [0.578, 0.578, 0.759], [0.578, 0.086, 0.759], [0.086, 0.578, 0.759]],
  "e_form_ev_per_fu": -1.4
}


Record 3
{
  "formula": "PmSm2Se",
  "functional": "GGA-PBE",
  "state": "relaxed",
  "cell": [[3.818, 0.000, 0.000], [1.909, 3.306, 0.000], [1.909, 1.102, 10.506]],
  "species": ["Se", "Sm", "Sm", "Pm"],
  "frac_coords": [[0.500, 0.500, 0.500], [0.109, 0.109, 0.673], [0.891, 0.891, 0.327], [0.000, 0.000, 0.000]],
  "e_above_lowest_polymorph_ev_per_atom": 0.225,
  "raw_formation_energy_ev_per_atom": -0.58
}


Record 4
{
  "formula": "TeBrCl2",
  "functional": "GGA-PBE",
  "state": "relaxed",
  "cell": [[-6.901, 0.351, -2.195], [-2.913, -3.814, -5.435], [3.372, 0.370, 6.408]],
  "species": ["Te", "Br", "Cl", "Cl"],
  "frac_coords": [[0.750, 0.250, 0.500], [0.250, 0.750, 0.500], [0.903, 0.903, 0.000], [0.597, 0.597, 0.000]],
  "e_above_lowest_polymorph_ev_per_atom": 0.259,
  "raw_formation_energy_ev_per_atom": -0.14
}


Record 5
{
  "formula": "Li2As2Au3",
  "functional": "GGA-PBE",
  "state": "relaxed",
  "cell": [[2.886, 0.000, 0.000], [0.000, 4.181, 0.000], [0.000, -2.091, 10.163]],
  "species": ["Li", "Li", "As", "As", "Au", "Au", "Au"],
  "frac_coords": [[0.000, 0.862, 0.724], [0.000, 0.138, 0.276], [0.500, 0.702, 0.405], [0.500, 0.298, 0.595], [0.500, 0.573, 0.147], [0.500, 0.427, 0.853], [0.000, 0.000, 0.000]],
  "e_form_ev_per_fu": -1.9
}


Record 6
{
  "formula": "BaGdIr4",
  "functional": "GGA-PBE",
  "state": "relaxed",
  "cell": [[5.495, 0.000, 0.000], [2.748, 4.759, 0.000], [2.748, 1.586, 4.487]],
  "species": ["Gd", "Ir", "Ir", "Ir", "Ir", "Ba"],
  "frac_coords": [[0.000, 0.000, 0.000], [0.625, 0.625, 0.124], [0.625, 0.124, 0.625], [0.625, 0.625, 0.625], [0.124, 0.625, 0.625], [0.250, 0.250, 0.250]],
  "e_form_ev_per_fu": -2.0
}


| no. | DOS(E_F) (states/eV per atom) |
| --- | --- |
| 1 | 0.1432 |
| 2 | 1.1656 |
| 3 | 1.1331 |
| 4 | 0.4983 |
| 5 | 0.1878 |
| 6 | 1.2966 |